Entry from the Alexandria database: a geometry-optimized SmSbO4 structure (GGA-PBEsol).

The structure in POSCAR format:
```
SmSbO4
1.0
7.621 0.000 0.000
0.000 5.431 0.000
-1.217 0.000 7.490
Sm Sb O
4 4 16
Cartesian
0.625 1.227 2.961
0.016 1.488 6.706
6.388 3.943 0.784
5.779 4.203 4.529
2.332 3.963 1.460
1.724 4.183 5.205
4.680 1.248 2.285
4.071 1.468 6.030
0.687 2.815 1.286
0.078 5.331 5.031
0.536 2.722 4.679
1.144 5.424 0.934
1.381 3.406 7.043
1.990 4.740 3.298
2.328 0.510 6.031
2.937 2.206 2.286
3.467 3.225 5.204
4.075 4.921 1.459
4.414 0.691 4.192
5.022 2.025 0.447
5.260 0.006 6.556
5.868 2.709 2.811
6.326 0.100 2.459
5.717 2.616 6.204
```

Values from the calculation:
Its total energy is -180.313 eV for the cell shown. The energy relative to the elements, uncorrected is -2405 meV per atom.